VASP calculation (GGA-PBE) on a relaxed structure of HgTeRu.

total moment	0.0	μB/f.u.
relative energy among the computed polymorphs	0.070	eV per atom
energy	-4.12	eV/atom
ΔE_f (raw)	0.121	eV/atom

CIF file:
```
data_HgTeRu
_chemical_formula_sum 'Hg4 Te4 Ru4'
_space_group_name_H-M_alt 'C 1 2/m 1'
_space_group_IT_number 12
_space_group_name_Hall '-C 2y'
_cell_length_a 13.418
_cell_length_b 3.220
_cell_length_c 6.910
_cell_angle_alpha 90.00
_cell_angle_beta 113.27
_cell_angle_gamma 90.00
loop_
_atom_site_label
_atom_site_type_symbol
_atom_site_fract_x
_atom_site_fract_y
_atom_site_fract_z
Hg1 Hg 0.000 0.000 0.000
Hg2 Hg 0.000 0.000 0.500
Te1 Te 0.239 0.500 0.265
Ru1 Ru 0.147 0.500 0.859
```